No. 1
Compound: BaOs2Pt
Source: Alexandria via LeMat-Bulk
Functional: PBE
Structure: relaxed

Values from the calculation:
DOS(E_F) = 3.686 states/eV per cell
Relative energy among the computed polymorphs = 789 meV per atom
Space group = P4/mmm (123)

Unit cell a=3.1433 b=3.1433 c=8.1314 alpha=90.00 beta=90.00 gamma=90.00
Last column: nearest neighbours and their distance in Å.
Element x y z (fractional)
Os 0.0000 0.0000 0.0694  4 Pt 2.66, 1 Os 2.94
Os 0.0000 0.0000 0.4306  4 Pt 2.66, 1 Os 2.94
Ba 0.5000 0.5000 0.7500  4 Ba 3.14, 8 Os 3.42
Pt 0.5000 0.5000 0.2500  8 Os 2.66



No. 2
Compound: BaOsPt2
Source: Alexandria via LeMat-Bulk
Functional: PBE
Structure: relaxed

Values from the calculation:
DOS(E_F) = 2.691 states/eV per cell
Relative energy among the computed polymorphs = 919 meV per atom
Space group = Fm-3m (225)

Unit cell a=4.8951 b=4.8951 c=4.8951 alpha=60.00 beta=60.00 gamma=60.00
Last column: nearest neighbours and their distance in Å.
Element x y z (fractional)
Os 0.5000 0.5000 0.5000  8 Pt 3.00
Ba 0.0000 0.0000 0.0000  8 Pt 3.00
Pt 0.2500 0.2500 0.2500  4 Ba 3.00, 4 Os 3.00
Pt 0.7500 0.7500 0.7500  4 Ba 3.00, 4 Os 3.00